Record 1
The following is a DFT calculation (PBE) of a relaxed Ca2Ni2Pd crystal.

The calculation puts the energy at -4.312 eV/atom. As for the density of states at the Fermi level: 14.41 states/eV/cell. As for the density: 5.1 Mg/m³.

The space group is I4/mmm (No. 139) and the conventional cell measures 3.4111, 3.4111 and 16.9416 Å, with angles of 90.00, 90.00 and 90.00 degrees. The distinct sites, in fractional coordinates, are Ca at (0.0000, 0.0000, 0.1087), Ni at (0.0000, 0.5000, 0.2500) and Pd at (0.0000, 0.0000, 0.5000).



Record 2
The following is a DFT calculation (PBE) of a relaxed CaNiPd2 crystal.

The calculation puts the energy at -4.765 eV/atom. As for the density of states at the Fermi level: 4.02 states/eV/cell. As for the density: 7.7 Mg/m³.

The space group is Fm-3m (No. 225) and the conventional cell measures 6.4513, 6.4513 and 6.4513 Å, with angles of 90.00, 90.00 and 90.00 degrees. The distinct sites, in fractional coordinates, are Ca at (0.0000, 0.0000, 0.0000), Ni at (0.0000, 0.0000, 0.5000) and Pd at (0.2500, 0.2500, 0.2500).



Record 3
The following is a DFT calculation (PBE) of a relaxed CaNiPd crystal.

The calculation puts the energy at -4.539 eV/atom. As for the density of states at the Fermi level: 8.01 states/eV/cell. As for the density: 6.4 Mg/m³.

The space group is C2/m (No. 12) and the conventional cell measures 9.4343, 5.5739 and 4.6503 Å, with angles of 90.00, 119.31 and 90.00 degrees. The distinct sites, in fractional coordinates, are Ca at (0.1272, 0.0000, 0.3770), Ni at (0.0300, 0.5000, 0.2799) and Pd at (0.2500, 0.2500, 0.0000).



Record 4
The following is a DFT calculation (PBE) of a relaxed Ca3NiPd crystal.

The calculation puts the energy at -3.402 eV/atom. As for the density of states at the Fermi level: 3.72 states/eV/cell. As for the density: 3.3 Mg/m³.

The space group is Pm-3m (No. 221) and the conventional cell measures 5.2319, 5.2319 and 5.2319 Å, with angles of 90.00, 90.00 and 90.00 degrees. The distinct sites, in fractional coordinates, are Ca at (0.0000, 0.0000, 0.5000), Ni at (0.0000, 0.0000, 0.0000) and Pd at (0.5000, 0.5000, 0.5000).



Record 5
The following is a DFT calculation (PBE) of a relaxed Ca2NiPd3 crystal.

The calculation puts the energy at -4.440 eV/atom. As for the density of states at the Fermi level: 6.89 states/eV/cell. As for the density: 6.4 Mg/m³.

The space group is Immm (No. 71) and the conventional cell measures 4.7899, 5.4411 and 9.1141 Å, with angles of 90.00, 90.00 and 90.00 degrees. The distinct sites, in fractional coordinates, are Ca at (0.0000, 0.0000, 0.1864), Ni at (0.0000, 0.0000, 0.5000), Pd at (0.0000, 0.5000, 0.1420) and Pd at (0.0000, 0.5000, 0.5000).



Record 6
The following is a DFT calculation (PBE) of a relaxed Ca2Ni2Pd crystal.

The calculation puts the energy at -4.393 eV/atom. As for the density of states at the Fermi level: 5.23 states/eV/cell. As for the density: 5.3 Mg/m³.

The space group is P4/mbm (No. 127) and the conventional cell measures 6.7232, 6.7232 and 4.2099 Å, with angles of 90.00, 90.00 and 90.00 degrees. The distinct sites, in fractional coordinates, are Ca at (0.1823, 0.3177, 0.0000), Ni at (0.1222, 0.6222, 0.5000) and Pd at (0.0000, 0.0000, 0.5000).



Record 7
The following is a DFT calculation (PBE) of a relaxed CaNiPd crystal.

The calculation puts the energy at -4.778 eV/atom. As for the density of states at the Fermi level: 8.91 states/eV/cell. As for the density: 6.5 Mg/m³.

The space group is Imma (No. 74) and the conventional cell measures 5.1068, 5.5130 and 7.4424 Å, with angles of 90.00, 90.00 and 90.00 degrees. The distinct sites, in fractional coordinates, are Ca at (0.0000, 0.2500, 0.1199), Ni at (0.2500, 0.2500, 0.7500) and Pd at (0.0000, 0.0000, 0.5000).



Record 8
The following is a DFT calculation (PBE) of a relaxed CaPmNiPd crystal.

The calculation puts the energy at -4.863 eV/atom. As for the density of states at the Fermi level: 9.44 states/eV/cell. As for the density: 6.7 Mg/m³.

The space group is F-43m (No. 216) and the conventional cell measures 7.0181, 7.0181 and 7.0181 Å, with angles of 90.00, 90.00 and 90.00 degrees. The distinct sites, in fractional coordinates, are Ca at (0.0000, 0.0000, 0.0000), Pm at (0.0000, 0.0000, 0.5000), Ni at (0.2500, 0.2500, 0.7500) and Pd at (0.2500, 0.2500, 0.2500).



What is the energy in the fourth record?
-3.402 eV/atom



Which formula does entry 6 have?
Ca2Ni2Pd



Number 4 is which compound?
Ca3NiPd